1.
The following is a GGA-PBE calculation of an optimized crystal structure of Hf6AgS, from Alexandria via LeMat-Bulk.

Cell: 5.779 5.967 6.104 Å, 113.15 108.42 92.89°
Space group P-1 (No. 2)
Inequivalent atoms, fractional coordinates:
Hf  0.021  0.238  0.241 [2 per cell]
Hf  0.204  0.223  0.737 [2 per cell]
Hf  0.363  0.747  0.446 [2 per cell]
Ag  0.500  0.000  0.000 [1 per cell]
S  0.000  0.500  0.000 [1 per cell]

* E: -8.388 eV per atom
* formation energy from raw total energies: -1.18 kcal/mol of atoms
* total magnetization: 0.0 μB/f.u.

2.
The following is a GGA-PBE calculation of an optimized crystal structure of Hf3AgS, from Alexandria via LeMat-Bulk.

Cell: 5.081 5.081 5.081 Å, 90.00 90.00 90.00°
Space group Pm-3m (No. 221)
Inequivalent atoms, fractional coordinates:
Hf  0.000  0.000  0.500 [3 per cell]
Ag  0.000  0.000  0.000 [1 per cell]
S  0.500  0.500  0.500 [1 per cell]

* E: -6.269 eV per atom
* formation energy from raw total energies: 25.34 kcal/mol of atoms
* total magnetization: 0.0 μB/f.u.

3.
The following is a GGA-PBE calculation of an optimized crystal structure of Hf2Ag2S, from Alexandria via LeMat-Bulk.

Cell: 6.627 6.627 4.638 Å, 90.00 90.00 90.00°
Space group P4/mbm (No. 127)
Inequivalent atoms, fractional coordinates:
Hf  0.163  0.337  0.000 [4 per cell]
Ag  0.144  0.644  0.500 [4 per cell]
S  0.000  0.000  0.000 [2 per cell]

* E: -6.306 eV per atom
* formation energy from raw total energies: -8.27 kcal/mol of atoms
* total magnetization: 0.0 μB/f.u.

4.
The following is a GGA-PBE calculation of an optimized crystal structure of HfAg2S4, from Alexandria via LeMat-Bulk.

Cell: 5.048 5.048 12.596 Å, 90.00 90.00 90.00°
Space group I4/mmm (No. 139)
Inequivalent atoms, fractional coordinates:
Hf  0.000  0.000  0.000 [2 per cell]
Ag  0.000  0.000  0.388 [4 per cell]
S  0.000  0.000  0.195 [4 per cell]
S  0.000  0.500  0.000 [4 per cell]

* E: -4.857 eV per atom
* formation energy from raw total energies: -6.04 kcal/mol of atoms
* total magnetization: 1.9 μB/f.u.

Please write out number 3 again, unchanged.
The following is a GGA-PBE calculation of an optimized crystal structure of Hf2Ag2S, from Alexandria via LeMat-Bulk.

Cell: 6.627 6.627 4.638 Å, 90.00 90.00 90.00°
Space group P4/mbm (No. 127)
Inequivalent atoms, fractional coordinates:
Hf  0.163  0.337  0.000 [4 per cell]
Ag  0.144  0.644  0.500 [4 per cell]
S  0.000  0.000  0.000 [2 per cell]

* E: -6.306 eV per atom
* formation energy from raw total energies: -8.27 kcal/mol of atoms
* total magnetization: 0.0 μB/f.u.

Question: What is the formula in the third record?
Answer: Hf2Ag2S